No. 1
Compound: Mn2Hg4Pd
Source: Alexandria
Functional: PBE
Structure: optimized geometry

E: -3.121 eV per atom
space-group type: I4/mmm
ΔE_f: 0.413 eV per atom
Fermi-level density of states: 0.6213 states/eV/atom

```
Mn2Hg4Pd
1.0
-0.694 4.347 -2.885
-4.735 0.698 2.191
0.076 6.194 4.513
Mn Hg Pd
2 4 1
Direct
0.595 0.595 0.809
0.405 0.405 0.191
0.500 0.000 0.000
0.795 0.795 0.409
0.000 0.500 0.000
0.205 0.205 0.591
0.000 0.000 0.000
```

***

No. 2
Compound: Mn2HgPd7
Source: Alexandria
Functional: PBE
Structure: optimized geometry

E: -5.157 eV per atom
space-group type: Cmmm
ΔE_f: 0.342 eV per atom
Fermi-level density of states: 0.7604 states/eV/atom

```
Mn2HgPd7
1.0
4.360 0.000 0.000
0.000 7.269 -0.227
0.000 -3.482 6.384
Pd Mn Hg
7 2 1
Direct
0.000 0.214 0.786
0.500 0.500 0.500
0.500 0.697 0.929
0.500 0.071 0.303
0.000 0.786 0.214
0.500 0.929 0.697
0.500 0.303 0.071
0.500 0.698 0.302
0.500 0.302 0.698
0.000 0.000 0.000
```

***

No. 3
Compound: MnHg2Pd6
Source: Alexandria
Functional: PBE
Structure: optimized geometry

E: -4.712 eV per atom
space-group type: C2/m
ΔE_f: -0.165 eV per atom
Fermi-level density of states: 0.4086 states/eV/atom

```
MnHg2Pd6
1.0
4.122 0.000 0.000
2.061 4.406 0.120
2.061 1.924 8.196
Pd Hg Mn
6 2 1
Direct
0.006 0.819 0.169
0.339 0.267 0.055
0.994 0.181 0.831
0.661 0.733 0.945
0.659 0.074 0.607
0.341 0.926 0.393
0.324 0.624 0.728
0.676 0.376 0.272
0.000 0.500 0.500
```

***

No. 4
Compound: MnHg3Pd
Source: Alexandria
Functional: PBE
Structure: optimized geometry

E: -2.538 eV per atom
space-group type: Pm-3m
ΔE_f: 0.516 eV per atom
Fermi-level density of states: 0.4347 states/eV/atom
E above lowest polymorph: 0.000 eV/atom

```
MnHg3Pd
1.0
-0.576 0.038 -5.204
-5.189 -0.400 0.571
-0.393 5.220 0.081
Hg Pd Mn
3 1 1
Direct
0.500 0.000 0.000
0.000 0.000 0.500
0.000 0.500 0.000
0.000 0.000 0.000
0.500 0.500 0.500
```